# 1
A relaxed Rb2HfHgSe4 crystal. Source: Alexandria via LeMat-Bulk, functional PBE-GGA.

Cell lengths 6.3397, 14.6035, 25.0604 Å; angles 90.00, 90.00, 90.00 degrees
Last column: nearest neighbours and their distance in Å.
Space group Fddd (No. 70, origin choice 2)
Unique sites:
Rb  0.1250  0.1250  0.3062 (multiplicity 16)  8 Se 3.71-3.96
Hf  0.1250  0.1250  0.1250 (multiplicity 8)  4 Se 2.53
Hg  0.1250  0.1250  0.6250 (multiplicity 8)  4 Se 2.72
Se  0.1010  0.2715  0.4325 (multiplicity 32)  1 Hf 2.53, 1 Hg 2.72

Computed properties:
The value obtained for the formation energy without anion corrections is -24.32 kcal/mol of atoms. The mass density comes out at 5.0 Mg/m³. Its crystal system is orthorhombic.

---

# 2
A relaxed Li2La2DyIn5 crystal. Source: Alexandria via LeMat-Bulk, functional PBE-GGA.

Cell lengths 10.4566, 10.4566, 4.5825 Å; angles 90.00, 90.00, 90.00 degrees
Last column: nearest neighbours and their distance in Å.
Space group P4/mbm (No. 127)
Unique sites:
Li  0.1152  0.3848  0.0000 (multiplicity 4)  6 In 2.86-2.97, 3 La 3.04-3.15
La  0.1795  0.6795  0.0000 (multiplicity 4)  3 Li 3.04-3.15
Dy  0.0000  0.0000  0.0000 (multiplicity 2)  8 In 3.25
In  0.0000  0.5000  0.5000 (multiplicity 2)  4 Li 2.86, 4 In 3.09
In  0.0651  0.2113  0.5000 (multiplicity 8)  2 Li 2.97, 4 In 3.09-3.31, 2 Dy 3.25

Computed properties:
The mass density comes out at 6.8 Mg/m³. Its crystal system is tetragonal. The formation energy comes out at -0.451 eV per atom.

---

# 3
A relaxed TlFeSb4 crystal. Source: Alexandria via LeMat-Bulk, functional PBE-GGA.

Cell lengths 8.8420, 8.8420, 8.8420 Å; angles 90.00, 90.00, 90.00 degrees
Last column: nearest neighbours and their distance in Å.
Space group F-43m (No. 216)
Unique sites:
Tl  0.0000  0.0000  0.0000 (multiplicity 4)  12 Sb 3.67, 4 Fe 3.83
Fe  0.2500  0.2500  0.7500 (multiplicity 4)  12 Sb 3.66, 4 Tl 3.83
Sb  0.1247  0.1247  0.3753 (multiplicity 16)  6 Sb 3.12-3.13

Computed properties:
The value obtained for the formation energy without anion corrections is 13.94 kcal/mol of atoms. The mass density comes out at 7.2 Mg/m³. Its crystal system is cubic.

---

Look up the mass density of the second one. 6.8 Mg/m³

---

Which formula does entry 1 have? Rb2HfHgSe4